{"formula": "Mg5MnO6", "functional": "PBE with a Hubbard U", "state": "relaxed", "cell": [[5.209, 0.132, 0.794], [1.285, 4.418, 2.576], [0.091, 0.049, 5.267]], "species": ["O", "O", "Mn", "Mg", "O", "Mg", "O", "O", "Mg", "O", "Mg", "Mg"], "fractional_positions": [[0.742, 0.743, 0.000], [0.747, 0.427, 0.658], [0.000, 0.000, 0.000], [0.500, 0.500, 0.000], [0.747, 0.085, 0.342], [0.500, 0.167, 0.667], [0.258, 0.257, 0.000], [0.253, 0.573, 0.342], [0.500, 0.833, 0.333], [0.253, 0.915, 0.658], [0.000, 0.667, 0.666], [0.000, 0.333, 0.334]], "e_tot_ev_per_atom": -6.283, "magmom_total_mub_per_fu": 5.000, "dos_at_fermi_per_ev_cell": 0.00}